The following is a PBE calculation of LiCoCu2B after structural relaxation, from Alexandria via LeMat-Bulk.

Output
Uncorrected energy (eV per atom): -4.127

a b c (Å): 4.483 4.483 3.698
angles (deg): 90.00 90.00 90.00
Space group P4/mmm (No. 123)
One atom of each set of equivalent atoms:
Li 0.000 0.000 0.000 [1 per cell]
Co 0.500 0.500 0.500 [1 per cell]
Cu 0.000 0.500 0.500 [2 per cell]
B 0.500 0.500 0.000 [1 per cell]